First-principles (SCAN) data for AlSn2MoH at its PBEsol-relaxed geometry, as listed in Alexandria via LeMat-Bulk.

Results
E: -0.813 Ha/atom
Size of the total moment: 3.78 μB/f.u.

Cell and atoms, written as extended XYZ:
```
5
Lattice="5.114 0.000 0.000 0.000 5.114 0.000 0.000 0.000 4.798" Properties=species:S:1:pos:R:3 pbc="T T T"
Al 0.000 0.000 0.000
Sn 0.000 2.557 0.000
Sn 2.557 0.000 0.000
Mo 0.000 0.000 2.399
H 2.557 2.557 2.399
```